Entry 1:
DFT (PBE) results for crystalline Tb4SnTeSe2 at its relaxed geometry.

Size of the total moment, μB/cell: 0.00
Volume, Å³/atom: 27.21
Formation energy (no corrections), meV/atom: -1417

Cell lengths 4.247, 7.359, 7.387 Å; angles 70.58, 90.00, 90.00 degrees
Atoms (fractional coordinates):
Se 0.500 0.000 0.500
Se 0.000 0.000 0.000
Tb 0.500 0.231 0.765
Tb 0.000 0.762 0.752
Tb 0.000 0.238 0.248
Tb 0.500 0.769 0.235
Te 0.000 0.500 0.500
Sn 0.500 0.500 0.000



Entry 2:
DFT (PBE) results for crystalline TbTlSn2Se4 at its relaxed geometry.

Size of the total moment, μB/cell: 0.00
Volume, Å³/atom: 28.46
Formation energy (no corrections), meV/atom: -823

Cell lengths 4.278, 7.416, 7.561 Å; angles 71.66, 90.00, 90.00 degrees
Atoms (fractional coordinates):
Sn 0.000 0.000 0.000
Sn 0.500 0.000 0.500
Tb 0.000 0.500 0.500
Tl 0.500 0.500 0.000
Se 0.500 0.258 0.727
Se 0.500 0.742 0.273
Se 0.000 0.245 0.276
Se 0.000 0.755 0.724



Entry 3:
DFT (PBE) results for crystalline TbTl2SnSe4 at its relaxed geometry.

Size of the total moment, μB/cell: 0.00
Volume, Å³/atom: 29.36
Formation energy (no corrections), meV/atom: -878

Cell lengths 4.139, 8.053, 7.381 Å; angles 72.65, 90.00, 90.00 degrees
Atoms (fractional coordinates):
Se 0.500 0.294 0.735
Se 0.500 0.706 0.265
Se 0.000 0.709 0.761
Se 0.000 0.291 0.239
Tl 0.500 0.000 0.500
Tl 0.000 0.000 0.000
Tb 0.000 0.500 0.500
Sn 0.500 0.500 0.000



Entry 4:
DFT (PBE) results for crystalline Tb6TlSn2Se3 at its relaxed geometry.

Size of the total moment, μB/cell: 0.00
Volume, Å³/atom: 27.22
Formation energy (no corrections), meV/atom: -1170

Cell lengths 4.225, 8.642, 9.776 Å; angles 109.91, 102.48, 90.00 degrees
Atoms (fractional coordinates):
Se 0.831 0.177 0.663
Se 0.169 0.823 0.337
Se 0.500 0.500 0.000
Sn 0.841 0.688 0.682
Sn 0.159 0.312 0.318
Tb 0.334 0.423 0.667
Tb 0.666 0.577 0.333
Tb 0.991 0.266 0.982
Tb 0.673 0.066 0.345
Tb 0.009 0.734 0.018
Tb 0.327 0.934 0.655
Tl 0.500 0.000 0.000



Entry 5:
DFT (PBE) results for crystalline TbTlSnSe3 at its relaxed geometry.

Size of the total moment, μB/cell: 0.00
Volume, Å³/atom: 33.74
Formation energy (no corrections), meV/atom: -956

Cell lengths 4.162, 8.831, 11.334 Å; angles 90.00, 90.00, 103.63 degrees
Atoms (fractional coordinates):
Se 0.616 0.231 0.513
Se 0.384 0.769 0.487
Se 0.976 0.952 0.750
Se 0.616 0.231 0.987
Se 0.024 0.048 0.250
Se 0.384 0.769 0.013
Tl 0.300 0.599 0.250
Tl 0.700 0.401 0.750
Tb 0.000 0.000 0.500
Tb 0.000 0.000 0.000
Sn 0.369 0.738 0.750
Sn 0.631 0.262 0.250



Entry 6:
DFT (PBE) results for crystalline TbTl3Sn2Se6 at its relaxed geometry.

Size of the total moment, μB/cell: 0.00
Volume, Å³/atom: 29.21
Formation energy (no corrections), meV/atom: -708

Cell lengths 7.280, 7.280, 8.028 Å; angles 98.65, 98.65, 120.21 degrees
Atoms (fractional coordinates):
Se 0.403 0.070 0.209
Se 0.734 0.734 0.205
Se 0.266 0.266 0.795
Se 0.930 0.597 0.791
Se 0.597 0.930 0.791
Se 0.070 0.403 0.209
Sn 0.333 0.667 0.000
Sn 0.667 0.333 0.000
Tb 0.000 0.000 0.000
Tl 0.500 0.500 0.500
Tl 0.165 0.835 0.500
Tl 0.835 0.165 0.500



Entry 7:
DFT (PBE) results for crystalline Tb2Tl3SnSe6 at its relaxed geometry.

Size of the total moment, μB/cell: 0.00
Volume, Å³/atom: 29.41
Formation energy (no corrections), meV/atom: -1048

Cell lengths 4.166, 9.129, 10.035 Å; angles 108.59, 101.98, 90.00 degrees
Atoms (fractional coordinates):
Tb 0.167 0.336 0.335
Tb 0.833 0.664 0.665
Se 0.009 0.229 0.019
Se 0.657 0.109 0.314
Se 0.991 0.771 0.981
Se 0.677 0.561 0.353
Se 0.323 0.439 0.647
Se 0.343 0.891 0.686
Sn 0.500 0.000 0.000
Tl 0.500 0.500 0.000
Tl 0.832 0.163 0.663
Tl 0.168 0.837 0.337



Entry 8:
DFT (PBE) results for crystalline Tb3Tl4SnSe8 at its relaxed geometry.

Size of the total moment, μB/cell: 0.00
Volume, Å³/atom: 29.64
Formation energy (no corrections), meV/atom: -1130

Cell lengths 8.422, 9.125, 8.422 Å; angles 117.49, 120.00, 90.00 degrees
Atoms (fractional coordinates):
Se 0.735 0.705 0.970
Se 0.235 0.705 0.470
Se 0.765 0.295 0.530
Se 0.235 0.705 0.970
Se 0.735 0.706 0.471
Se 0.265 0.294 0.529
Se 0.265 0.295 0.030
Se 0.765 0.295 0.030
Sn 0.000 0.500 0.000
Tb 0.500 0.500 0.000
Tb 0.500 0.500 0.500
Tb 0.000 0.500 0.500
Tl 0.500 0.000 0.500
Tl 0.000 0.000 0.500
Tl 0.500 0.000 0.000
Tl 0.000 0.000 0.000



Entry 9:
DFT (PBE) results for crystalline TbYSnSe at its relaxed geometry.

Size of the total moment, μB/cell: 0.00
Volume, Å³/atom: 27.46
Formation energy (no corrections), meV/atom: -1262

Cell lengths 4.265, 4.262, 6.043 Å; angles 90.00, 90.00, 90.00 degrees
Atoms (fractional coordinates):
Sn 0.000 0.892 0.592
Se 0.500 0.391 0.093
Y 0.500 0.392 0.593
Tb 0.000 0.891 0.092



Entry 10:
DFT (PBE) results for crystalline Tc2SnSe at its relaxed geometry.

Size of the total moment, μB/cell: 0.00
Volume, Å³/atom: 16.44
Excess energy over the best structure of this formula in the dataset, eV/atom: 0.000
Formation energy (no corrections), meV/atom: 310

Cell lengths 4.530, 4.530, 4.530 Å; angles 60.00, 60.00, 60.00 degrees
Atoms (fractional coordinates):
Sn 0.500 0.500 0.500
Se 0.000 0.000 0.000
Tc 0.750 0.750 0.750
Tc 0.250 0.250 0.250



Entry 11:
DFT (PBE) results for crystalline Tc3SnSe at its relaxed geometry.

Size of the total moment, μB/cell: 1.02
Volume, Å³/atom: 18.99
Excess energy over the best structure of this formula in the dataset, eV/atom: 0.000
Formation energy (no corrections), meV/atom: 912

Cell lengths 4.562, 4.562, 4.562 Å; angles 90.00, 90.00, 90.00 degrees
Atoms (fractional coordinates):
Sn 0.500 0.500 0.500
Tc 0.000 0.000 0.500
Tc 0.500 0.000 0.000
Tc 0.000 0.500 0.000
Se 0.000 0.000 0.000



Entry 12:
DFT (PBE) results for crystalline Tc4SnSe8 at its relaxed geometry.

Size of the total moment, μB/cell: 6.44
Volume, Å³/atom: 24.31
Formation energy (no corrections), meV/atom: -146

Cell lengths 7.060, 7.060, 8.381 Å; angles 90.00, 114.91, 120.00 degrees
Atoms (fractional coordinates):
Se 0.027 0.762 0.789
Se 0.476 0.238 0.211
Se 0.473 0.737 0.210
Se 0.527 0.263 0.790
Se 0.524 0.762 0.789
Se 0.027 0.265 0.789
Se 0.973 0.735 0.211
Se 0.973 0.238 0.211
Tc 0.500 0.000 0.000
Tc 0.000 0.000 0.000
Tc 0.000 0.500 0.000
Tc 0.500 0.500 0.000
Sn 0.000 0.500 0.500